Entry 1:
This record from the Alexandria database describes crystalline NaDyPbF6 at its relaxed geometry. The functional is PBE.

Output
Crystal system = tetragonal
Density of states at the Fermi level = 0.0 states/eV per cell
Calculated volume = 322 Å³ per cell
SG = No. 102
Total DFT energy (no corrections) = -5.55 eV per atom
Uncorrected formation energy = -3.232 eV/atom

abc: 5.3982 5.3982 11.0651
angles: 90.00 90.00 90.00
Last column: nearest neighbours and their distance in Å.
Positions (direct):
Na (0.5000, 0.5000, 0.1668)  6 F 2.35-2.42
Na (0.0000, 0.0000, 0.6668)  6 F 2.35-2.42
Dy (0.5000, 0.5000, 0.8313)  6 F 2.19-2.21
Dy (0.0000, 0.0000, 0.3313)  6 F 2.19-2.21
Pb (0.5000, 0.5000, 0.4975)  6 F 2.44-2.55
Pb (0.0000, 0.0000, 0.9975)  6 F 2.44-2.55
F (0.1807, 0.8193, 0.4869)  1 Dy 2.21, 1 Na 2.42, 1 Pb 2.44
F (0.8193, 0.1807, 0.4869)  1 Dy 2.21, 1 Na 2.42, 1 Pb 2.44
F (0.3193, 0.3193, 0.9869)  1 Dy 2.21, 1 Na 2.42, 1 Pb 2.44
F (0.6807, 0.6807, 0.9869)  1 Dy 2.21, 1 Na 2.42, 1 Pb 2.44
F (0.1933, 0.8067, 0.1851)  1 Dy 2.19, 1 Na 2.35
F (0.8067, 0.1933, 0.1851)  1 Dy 2.19, 1 Na 2.35
F (0.3067, 0.3067, 0.6851)  1 Dy 2.19, 1 Na 2.35
F (0.6933, 0.6933, 0.6851)  1 Dy 2.19, 1 Na 2.35
F (0.7893, 0.2107, 0.8302)  1 Dy 2.21, 1 Na 2.42, 1 Pb 2.45
F (0.2107, 0.7893, 0.8302)  1 Dy 2.21, 1 Na 2.42, 1 Pb 2.45
F (0.7107, 0.7107, 0.3302)  1 Dy 2.21, 1 Na 2.42, 1 Pb 2.45
F (0.2893, 0.2893, 0.3302)  1 Dy 2.21, 1 Na 2.42, 1 Pb 2.45

---

Entry 2:
This record from the Alexandria database describes crystalline Na2PmDyF8 at its relaxed geometry. The functional is PBE.

Output
Crystal system = tetragonal
Density of states at the Fermi level = 0.0 states/eV per cell
Calculated volume = 168 Å³ per cell
SG = No. 119
Total DFT energy (no corrections) = -5.94 eV per atom
Uncorrected formation energy = -3.697 eV/atom

abc: 5.5417 5.5417 6.7364
angles: 114.29 114.29 90.00
Last column: nearest neighbours and their distance in Å.
Positions (direct):
Na (0.7500, 0.2500, 0.5000)  8 F 2.45
Na (0.0000, 0.0000, 0.0000)  8 F 2.45
Pm (0.5000, 0.5000, 0.0000)  8 F 2.37
Dy (0.2500, 0.7500, 0.5000)  8 F 2.31
F (0.1406, 0.6280, 0.7459)  1 Dy 2.31, 1 Pm 2.37, 2 Na 2.45, 1 F 2.57
F (0.6052, 0.6280, 0.7459)  1 Dy 2.31, 1 Pm 2.37, 2 Na 2.45, 1 F 2.57
F (0.3720, 0.3948, 0.2541)  1 Dy 2.31, 1 Pm 2.37, 2 Na 2.45, 1 F 2.57
F (0.8821, 0.8594, 0.2541)  1 Dy 2.31, 1 Pm 2.37, 2 Na 2.45, 1 F 2.57
F (0.6052, 0.1179, 0.7459)  1 Dy 2.31, 1 Pm 2.37, 2 Na 2.45, 1 F 2.57
F (0.3720, 0.8594, 0.2541)  1 Dy 2.31, 1 Pm 2.37, 2 Na 2.45, 1 F 2.57
F (0.1406, 0.1179, 0.7459)  1 Dy 2.31, 1 Pm 2.37, 2 Na 2.45, 1 F 2.57
F (0.8821, 0.3948, 0.2541)  1 Dy 2.31, 1 Pm 2.37, 2 Na 2.45, 1 F 2.57

---

Entry 3:
This record from the Alexandria database describes crystalline RbNa2DyF6 at its relaxed geometry. The functional is PBE.

Output
Crystal system = trigonal
Density of states at the Fermi level = 0.0 states/eV per cell
Calculated volume = 173 Å³ per cell
SG = No. 146
Total DFT energy (no corrections) = -5.24 eV per atom
Uncorrected formation energy = -3.301 eV/atom

abc: 6.0817 6.0814 6.4545
angles: 61.88 61.88 59.99
Last column: nearest neighbours and their distance in Å.
Positions (direct):
Rb (0.7966, 0.7966, 0.6101)  6 F 2.73-2.93
Na (0.5244, 0.5244, 0.4267)  6 F 2.34-2.46
Na (0.0134, 0.0134, 0.9598)  6 F 2.26-2.49
Dy (0.3183, 0.3183, 0.0451)  6 F 2.20-2.21
F (0.5852, 0.2564, 0.2224)  1 Dy 2.20, 1 Na 2.34
F (0.2563, 0.9360, 0.2224)  1 Dy 2.20, 1 Na 2.34
F (0.9360, 0.5853, 0.2224)  1 Dy 2.20, 1 Na 2.34
F (0.3387, 0.7056, 0.7688)  1 Dy 2.21, 2 Na 2.26-2.46
F (0.7056, 0.1870, 0.7688)  1 Dy 2.21, 2 Na 2.26-2.46
F (0.1870, 0.3387, 0.7688)  1 Dy 2.21, 2 Na 2.26-2.46

---

Entry 4:
This record from the Alexandria database describes crystalline Rb3Na2DyF9 at its relaxed geometry. The functional is PBE.

Output
Crystal system = trigonal
Density of states at the Fermi level = 18.8 states/eV per cell
Calculated volume = 273 Å³ per cell
SG = No. 164
Total DFT energy (no corrections) = -4.74 eV per atom
Uncorrected formation energy = -2.940 eV/atom

abc: 6.2909 6.2909 7.9600
angles: 90.00 90.00 120.00
Last column: nearest neighbours and their distance in Å.
Positions (direct):
Rb (0.3333, 0.6667, 0.6951)  9 F 3.03-3.16
Rb (0.0000, 0.0000, 0.0000)  12 F 3.15-3.21
Rb (0.6667, 0.3333, 0.3049)  9 F 3.03-3.16
Na (0.3333, 0.6667, 0.1807)  6 F 2.26-2.32
Na (0.6667, 0.3333, 0.8193)  6 F 2.26-2.32
Dy (0.0000, 0.0000, 0.5000)  6 F 2.18
F (0.8388, 0.1612, 0.6617)  1 Dy 2.18, 1 Na 2.26
F (0.8388, 0.6775, 0.6617)  1 Dy 2.18, 1 Na 2.26
F (0.3225, 0.1612, 0.6617)  1 Dy 2.18, 1 Na 2.26
F (0.6775, 0.8388, 0.3383)  1 Dy 2.18, 1 Na 2.26
F (0.1612, 0.3225, 0.3383)  1 Dy 2.18, 1 Na 2.26
F (0.1612, 0.8388, 0.3383)  1 Dy 2.18, 1 Na 2.26
F (0.5000, 0.0000, 0.0000)  2 Na 2.32
F (0.0000, 0.5000, 0.0000)  2 Na 2.32
F (0.5000, 0.5000, 0.0000)  2 Na 2.32

---

Entry 5:
This record from the Alexandria database describes crystalline RbNaDyF5 at its relaxed geometry. The functional is PBE.

Output
Crystal system = monoclinic
Density of states at the Fermi level = 0.0 states/eV per cell
Calculated volume = 321 Å³ per cell
SG = No. 15
Total DFT energy (no corrections) = -5.48 eV per atom
Uncorrected formation energy = -3.453 eV/atom

abc: 6.5833 6.5833 8.4409
angles: 101.59 101.59 110.22
Last column: nearest neighbours and their distance in Å.
Positions (direct):
Rb (0.3343, 0.6657, 0.2500)  7 F 2.90-3.14
Rb (0.6657, 0.3343, 0.7500)  7 F 2.90-3.14
Na (0.6816, 0.3184, 0.2500)  4 F 2.21-2.22
Na (0.3184, 0.6816, 0.7500)  4 F 2.21-2.22
Dy (0.0000, 0.0000, 0.5000)  6 F 2.17-2.22
Dy (0.0000, 0.0000, 0.0000)  6 F 2.17-2.22
F (0.0626, 0.9374, 0.2500)  2 Dy 2.22
F (0.9374, 0.0626, 0.7500)  2 Dy 2.22
F (0.9032, 0.2779, 0.0909)  1 Dy 2.19, 1 Na 2.22
F (0.0968, 0.7221, 0.9091)  1 Dy 2.19, 1 Na 2.22
F (0.7221, 0.0968, 0.4091)  1 Dy 2.19, 1 Na 2.22
F (0.2779, 0.9032, 0.5909)  1 Dy 2.19, 1 Na 2.22
F (0.7549, 0.6509, 0.4237)  1 Dy 2.17, 1 Na 2.21
F (0.2451, 0.3491, 0.5763)  1 Dy 2.17, 1 Na 2.21
F (0.3491, 0.2451, 0.0763)  1 Dy 2.17, 1 Na 2.21
F (0.6509, 0.7549, 0.9237)  1 Dy 2.17, 1 Na 2.21

---

Entry 6:
This record from the Alexandria database describes crystalline RbNaDyF6 at its relaxed geometry. The functional is PBE.

Output
Crystal system = orthorhombic
Density of states at the Fermi level = 11.8 states/eV per cell
Calculated volume = 354 Å³ per cell
SG = No. 74
Total DFT energy (no corrections) = -4.99 eV per atom
Uncorrected formation energy = -2.975 eV/atom

abc: 8.3374 7.1178 8.1036
angles: 116.05 120.96 90.00
Last column: nearest neighbours and their distance in Å.
Positions (direct):
Rb (0.8625, 0.6125, 0.7250)  5 F 2.82-3.15
Rb (0.1375, 0.3875, 0.2750)  5 F 2.82-3.15
Na (0.5000, 0.5000, 0.0000)  6 F 2.31-2.33
Na (0.5000, 0.0000, 0.0000)  6 F 2.31-2.33
Dy (0.5000, 0.0000, 0.5000)  6 F 2.17-2.19
Dy (0.0000, 0.0000, 0.5000)  6 F 2.17-2.19
F (0.3739, 0.6239, 0.7477)  2 Na 2.33
F (0.8070, 0.0570, 0.6139)  2 Dy 2.19
F (0.8351, 0.0935, 0.2518)  1 Dy 2.17, 1 Na 2.31
F (0.4167, 0.6583, 0.2518)  1 Dy 2.17, 1 Na 2.31
F (0.4167, 0.0935, 0.2518)  1 Dy 2.17, 1 Na 2.31
F (0.8351, 0.6583, 0.2518)  1 Dy 2.17, 1 Na 2.31
F (0.6261, 0.3761, 0.2523)  2 Na 2.33
F (0.1930, 0.9430, 0.3861)  2 Dy 2.19
F (0.1649, 0.9065, 0.7482)  1 Dy 2.17, 1 Na 2.31
F (0.5833, 0.3417, 0.7482)  1 Dy 2.17, 1 Na 2.31
F (0.5833, 0.9065, 0.7482)  1 Dy 2.17, 1 Na 2.31
F (0.1649, 0.3417, 0.7482)  1 Dy 2.17, 1 Na 2.31